#1
RbMgIn6: relaxed, PBE.

Cell and atoms, written as CIF:
```
data_RbMgIn6
_chemical_formula_sum 'Rb3 Mg3 In18'
_cell_length_a 5.2092
_cell_length_b 5.2092
_cell_length_c 31.8393
_cell_angle_alpha 90.00
_cell_angle_beta 90.00
_cell_angle_gamma 120.00
_symmetry_space_group_name_H-M 'R -3 m'
_symmetry_Int_Tables_number 166
_symmetry_space_group_name_Hall '-R 3 2"'
loop_
_atom_site_label
_atom_site_type_symbol
_atom_site_fract_x
_atom_site_fract_y
_atom_site_fract_z
Rb1 Rb 0.0000 0.0000 0.0000
Mg1 Mg 0.0000 0.0000 0.5000
In1 In 0.0000 0.0000 0.1341
In2 In 0.0000 0.0000 0.2369
In3 In 0.0000 0.0000 0.4049
```

#2
RbMgIn6: relaxed, PBE.

Cell and atoms, written as CIF:
```
data_RbMgIn6
_chemical_formula_sum 'Rb1 Mg1 In6'
_cell_length_a 5.2230
_cell_length_b 5.2230
_cell_length_c 9.0411
_cell_angle_alpha 90.00
_cell_angle_beta 90.00
_cell_angle_gamma 90.00
_symmetry_space_group_name_H-M 'P 4/m m m'
_symmetry_Int_Tables_number 123
_symmetry_space_group_name_Hall '-P 4 2'
loop_
_atom_site_label
_atom_site_type_symbol
_atom_site_fract_x
_atom_site_fract_y
_atom_site_fract_z
Rb1 Rb 0.0000 0.0000 0.0000
Mg1 Mg 0.0000 0.0000 0.5000
In1 In 0.0000 0.5000 0.3301
In2 In 0.5000 0.5000 0.1620
```

Quick one: most stable of them? #2